## AgMo2SeO (PBE with a Hubbard U)

Data for AgMo2SeO after structural relaxation.

Cell lengths 5.576, 5.576, 4.737 Å; angles 90.00, 90.00, 90.00 degrees
Atoms (fractional coordinates):
Ag 0.000 0.000 0.000
Mo 0.000 0.500 0.000
Mo 0.500 0.000 0.000
Se 0.000 0.000 0.500
O 0.500 0.500 0.500

Output
Fermi-level density of states ... 6.585 states/eV/cell
DFT total energy ... -17.811 eV per cell